(1)
Here is an optimized crystal structure of ZnGe3Cl from Alexandria via LeMat-Bulk. Energies are from GGA-PBEsol.

The structure in POSCAR format:
```
ZnGe3Cl
1.0
4.838 0.000 0.000
0.000 4.838 0.000
0.000 0.000 4.838
Ge Zn Cl
3 1 1
Direct
0.500 0.000 0.000
0.000 0.000 0.500
0.000 0.500 0.000
0.000 0.000 0.000
0.500 0.500 0.500
```

ΔE_f (raw) = 2.80 eV per formula unit
Space-group type = Pm-3m
N(E_F) = 1.2527 states/eV/atom

***

(2)
Here is an optimized crystal structure of Zr2GeCl from Alexandria via LeMat-Bulk. Energies are from GGA-PBEsol.

The structure in POSCAR format:
```
Zr2GeCl
1.0
4.668 0.000 0.000
2.334 4.042 0.000
2.334 1.347 3.811
Zr Ge Cl
2 1 1
Direct
0.250 0.250 0.250
0.750 0.750 0.750
0.500 0.500 0.500
0.000 0.000 0.000
```

ΔE_f (raw) = -2.85 eV per formula unit
Space-group type = Fm-3m
N(E_F) = 0.7747 states/eV/atom

***

> Which value of ΔE_f (raw) does entry 1 give?

2.80 eV per formula unit

***

Please write out number 2 again, unchanged.
Here is an optimized crystal structure of Zr2GeCl from Alexandria via LeMat-Bulk. Energies are from GGA-PBEsol.

The structure in POSCAR format:
```
Zr2GeCl
1.0
4.668 0.000 0.000
2.334 4.042 0.000
2.334 1.347 3.811
Zr Ge Cl
2 1 1
Direct
0.250 0.250 0.250
0.750 0.750 0.750
0.500 0.500 0.500
0.000 0.000 0.000
```

ΔE_f (raw) = -2.85 eV per formula unit
Space-group type = Fm-3m
N(E_F) = 0.7747 states/eV/atom

***

> Which of these has the highest ΔE_f (raw)?

ZnGe3Cl